(1)
A plane-wave DFT calculation with PBE was carried out for a relaxed structure of Zn2SbBr.

Unit cell a=3.3746 b=3.3746 c=9.2440 alpha=90.00 beta=90.00 gamma=115.10
Sites, in units of the cell vectors:
Br 0.0000 0.0000 0.4318
Zn 0.5000 0.5000 0.2398
Zn 0.0000 0.0000 0.0328
Sb 0.5000 0.5000 0.7956

## Properties
The volume comes out at 23.83 A^3/atom. The theoretical density comes out at 5.79 g/cm³. The value obtained for the relative energy among the computed polymorphs is 0.334 eV/atom. Its electronic total energy is -2.04 eV per atom. The formation energy from raw total energies is 46 meV per atom.

=====

(2)
A plane-wave DFT calculation with PBE was carried out for a relaxed structure of Zn2SbBr.

Unit cell a=9.8706 b=9.8706 c=9.8706 alpha=20.24 beta=20.24 gamma=20.24
Sites, in units of the cell vectors:
Sb 0.7267 0.7267 0.7267
Zn 0.9860 0.9860 0.9860
Zn 0.2553 0.2553 0.2553
Br 0.5319 0.5319 0.5319

## Properties
The volume comes out at 25.18 A^3/atom. The theoretical density comes out at 5.48 g/cm³. The value obtained for the relative energy among the computed polymorphs is 0.232 eV/atom. Its electronic total energy is -2.14 eV per atom. The formation energy from raw total energies is -56 meV per atom.

=====

(3)
A plane-wave DFT calculation with PBE was carried out for a relaxed structure of ZnSbBr2.

Unit cell a=8.2640 b=8.2640 c=8.2640 alpha=153.77 beta=147.29 gamma=42.41
Sites, in units of the cell vectors:
Sb 0.2500 0.7500 0.5000
Zn 0.7500 0.2500 0.5000
Br 0.1026 0.1026 0.0000
Br 0.3974 0.3974 0.0000

## Properties
The volume comes out at 33.63 A^3/atom. The theoretical density comes out at 4.28 g/cm³. Its electronic total energy is -2.32 eV per atom. The formation energy from raw total energies is -133 meV per atom.

=====

(4)
A plane-wave DFT calculation with PBE was carried out for a relaxed structure of ZnSbBr.

Unit cell a=6.3050 b=6.3050 c=6.3050 alpha=143.09 beta=142.99 gamma=53.27
Sites, in units of the cell vectors:
Zn 0.2451 0.2451 0.0000
Br 0.9955 0.9955 0.0000
Sb 0.7594 0.7594 0.0000

## Properties
The volume comes out at 30.02 A^3/atom. The theoretical density comes out at 4.92 g/cm³. The value obtained for the relative energy among the computed polymorphs is 0.121 eV/atom. Its electronic total energy is -2.42 eV per atom. The formation energy from raw total energies is -68 meV per atom.

=====

- electronic total energy of number 4 (ZnSbBr)?
  -2.42 eV per atom

=====

- What is the formula in the second record?
  Zn2SbBr

=====

- The highest electronic total energy belongs to which entry?
  number 1